Below is crystalline K2RbIF6 at its relaxed geometry, with properties calculated at the PBE level.

Computed properties:
Formation energy (no corrections) (eV/atom): -2.2166
Magnetization (μB per formula unit): 0.00
Theoretical density (g/cm3): 3.3
Symmetry: No. 1

Cell lengths 7.3334, 6.7518, 6.6759 Å; angles 46.45, 60.84, 63.19 degrees
Fractional positions:
F  0.6034  0.9071  0.1915
F  0.1515  0.5957  0.8803
F  0.3988  0.6918  0.9484
I  0.4068  0.3043  0.0680
F  0.2572  0.0978  0.0698
F  0.6510  0.2518  0.2069
F  0.0178  0.4991  0.5162
K  0.3727  0.5359  0.4457
Rb  0.7961  0.7953  0.7084
K  0.0063  0.9828  0.9801

Below is crystalline ZrAgP3 at its relaxed geometry, with properties calculated at the PBE level.

Computed properties:
Magnetization (μB per formula unit): 0.00
Theoretical density (g/cm3): 3.8
Symmetry: No. 221

Cell lengths 5.0141, 5.0141, 5.0141 Å; angles 90.00, 90.00, 90.00 degrees
Fractional positions:
Ag  0.5000  0.5000  0.5000
Zr  0.0000  0.0000  0.0000
P  0.0000  0.0000  0.5000
P  0.5000  0.0000  0.0000
P  0.0000  0.5000  0.0000

Below is crystalline LaTbCu2 at its relaxed geometry, with properties calculated at the PBE level.

Computed properties:
Magnetization (μB per formula unit): 0.00
Theoretical density (g/cm3): 7.7
Symmetry: No. 225

Cell lengths 5.0578, 5.0578, 5.0578 Å; angles 60.00, 60.00, 60.00 degrees
Fractional positions:
Cu  0.2500  0.2500  0.2500
La  0.5000  0.5000  0.5000
Tb  0.0000  0.0000  0.0000
Cu  0.7500  0.7500  0.7500

Below is crystalline Mn2FeSi at its relaxed geometry, with properties calculated at the PBE level.

Computed properties:
Formation energy (no corrections) (eV/atom): -0.0803
Magnetization (μB per formula unit): 5.17
Theoretical density (g/cm3): 7.0
Symmetry: No. 12

Cell lengths 4.4704, 4.7709, 2.5162 Å; angles 77.60, 84.01, 116.17 degrees
Site moments in Bohr magnetons follow the coordinates.
Fractional positions:
Mn  0.5000  0.0000  0.5000  1.66
Fe  0.5000  0.5000  0.0000  1.90
Mn  0.0000  0.0000  0.0000  1.66
Si  0.0000  0.5000  0.5000  -0.05

Below is crystalline Tb2PaAl at its relaxed geometry, with properties calculated at the PBE level.

Computed properties:
Magnetization (μB per formula unit): 0.00
Theoretical density (g/cm3): 9.0
Symmetry: No. 166

Cell lengths 3.2724, 3.2724, 11.5805 Å; angles 81.88, 81.88, 60.00 degrees
Fractional positions:
Al  0.5000  0.5000  0.5000
Tb  0.9045  0.9045  0.2864
Pa  0.0000  0.0000  0.0000
Tb  0.0955  0.0955  0.7136

Below is crystalline GeH2F8 at its relaxed geometry, with properties calculated at the PBE level.

Computed properties:
Magnetization (μB per formula unit): 2.03
Theoretical density (g/cm3): 2.8
Symmetry: No. 12

Cell lengths 5.0711, 5.4040, 5.4040 Å; angles 65.77, 91.76, 91.76 degrees
Site moments in Bohr magnetons follow the coordinates.
Fractional positions:
Ge  0.0000  0.0000  0.0000  -0.03
F  0.1683  0.1815  0.1815  0.05
H  0.4255  0.2264  0.2264  0.00
F  0.3816  0.7378  0.7378  0.29
F  0.2142  0.7112  0.1698  0.29
F  0.7858  0.8302  0.2888  0.29
F  0.6184  0.2622  0.2622  0.29
F  0.7858  0.2888  0.8302  0.29
F  0.2142  0.1698  0.7112  0.29
F  0.8317  0.8185  0.8185  0.05
H  0.5745  0.7736  0.7736  0.00

The calculation returns the following energy values, one per record and in order: -3.811, -5.014, -4.602, -8.136, -5.426, -3.885 eV per atom.